(1)
A plane-wave DFT calculation with PBE was carried out for Na2Tl4Au after structural relaxation.

Output
Space-group type: Cmmm, No. 65
N(E_F) in states/eV per atom: 0.39
Theoretical density in Mg/m³: 7.398
Energy relative to the elements in meV/atom: 50

Cell: 7.865 7.865 5.261 Å, 90.00 90.00 132.99°
Positions (direct):
Na (0.137, 0.863, 0.000)
Na (0.863, 0.137, 0.000)
Tl (0.286, 0.714, 0.500)
Tl (0.395, 0.605, 0.000)
Tl (0.605, 0.395, 0.000)
Tl (0.714, 0.286, 0.500)
Au (0.500, 0.500, 0.500)


(2)
A plane-wave DFT calculation with PBE was carried out for Na2TlAu after structural relaxation.

Output
Space-group type: I-42d, No. 122
N(E_F) in states/eV per atom: 0.23
Theoretical density in Mg/m³: 6.774
Energy relative to the elements in meV/atom: -95

Cell: 6.755 6.755 6.755 Å, 101.29 101.29 127.48°
Positions (direct):
Na (0.087, 0.625, 0.962)
Na (0.375, 0.337, 0.462)
Na (0.663, 0.125, 0.038)
Na (0.875, 0.913, 0.538)
Tl (0.250, 0.750, 0.500)
Tl (0.500, 0.500, 0.000)
Au (0.000, 0.000, 0.000)
Au (0.750, 0.250, 0.500)


(3)
A plane-wave DFT calculation with PBE was carried out for Na12TlAu7 after structural relaxation.

Output
Space-group type: R-3, No. 148
N(E_F) in states/eV per atom: 0.38
Theoretical density in Mg/m³: 6.151
Energy relative to the elements in meV/atom: -193

Cell: 8.441 8.441 8.441 Å, 106.92 106.92 106.92°
Positions (direct):
Na (0.046, 0.384, 0.273)
Na (0.201, 0.360, 0.664)
Na (0.273, 0.046, 0.384)
Na (0.336, 0.799, 0.640)
Na (0.360, 0.664, 0.201)
Na (0.384, 0.273, 0.046)
Na (0.616, 0.727, 0.954)
Na (0.640, 0.336, 0.799)
Na (0.664, 0.201, 0.360)
Na (0.727, 0.954, 0.616)
Na (0.799, 0.640, 0.336)
Na (0.954, 0.616, 0.727)
Tl (0.000, 0.000, 0.000)
Au (0.011, 0.333, 0.904)
Au (0.096, 0.989, 0.667)
Au (0.333, 0.904, 0.011)
Au (0.500, 0.500, 0.500)
Au (0.667, 0.096, 0.989)
Au (0.904, 0.011, 0.333)
Au (0.989, 0.667, 0.096)


(4)
A plane-wave DFT calculation with PBE was carried out for Na12TlAu6 after structural relaxation.

Output
Offset from the most stable computed form in eV per atom: 0.003
Space-group type: Im-3, No. 204
N(E_F) in states/eV per atom: 0.15
Theoretical density in Mg/m³: 5.311
Energy relative to the elements in meV/atom: -196

Cell: 8.772 8.772 8.772 Å, 109.47 109.47 109.47°
Positions (direct):
Na (0.113, 0.825, 0.288)
Na (0.175, 0.288, 0.463)
Na (0.175, 0.712, 0.887)
Na (0.288, 0.113, 0.825)
Na (0.288, 0.463, 0.175)
Na (0.463, 0.175, 0.288)
Na (0.537, 0.825, 0.712)
Na (0.712, 0.537, 0.825)
Na (0.712, 0.887, 0.175)
Na (0.825, 0.288, 0.113)
Na (0.825, 0.712, 0.537)
Na (0.887, 0.175, 0.712)
Tl (0.000, 0.000, 0.000)
Au (0.137, 0.637, 0.500)
Au (0.363, 0.500, 0.863)
Au (0.500, 0.137, 0.637)
Au (0.500, 0.863, 0.363)
Au (0.637, 0.500, 0.137)
Au (0.863, 0.363, 0.500)


(5)
A plane-wave DFT calculation with PBE was carried out for Na2Tl2Au after structural relaxation.

Output
Offset from the most stable computed form in eV per atom: 0.000
Space-group type: C2/m, No. 12
N(E_F) in states/eV per atom: 0.29
Theoretical density in Mg/m³: 8.278
Energy relative to the elements in meV/atom: -157

Cell: 6.178 6.178 9.319 Å, 104.14 104.14 49.76°
Positions (direct):
Na (0.054, 0.054, 0.358)
Na (0.176, 0.176, 0.049)
Na (0.824, 0.824, 0.951)
Na (0.946, 0.946, 0.642)
Tl (0.351, 0.351, 0.423)
Tl (0.490, 0.490, 0.158)
Tl (0.510, 0.510, 0.842)
Tl (0.649, 0.649, 0.577)
Au (0.243, 0.243, 0.713)
Au (0.757, 0.757, 0.287)


(6)
A plane-wave DFT calculation with PBE was carried out for NaTlAu after structural relaxation.

Output
Space-group type: I4mm, No. 107
N(E_F) in states/eV per atom: 0.33
Theoretical density in Mg/m³: 9.904
Energy relative to the elements in meV/atom: -183

Cell: 5.544 5.544 5.544 Å, 139.52 139.52 58.58°
Positions (direct):
Na (0.000, 0.000, 0.000)
Tl (0.683, 0.683, 0.000)
Au (0.339, 0.339, 0.000)


(7)
A plane-wave DFT calculation with PBE was carried out for Na5Tl2Au2 after structural relaxation.

Output
Offset from the most stable computed form in eV per atom: 0.000
Space-group type: Ima2, No. 46
N(E_F) in states/eV per atom: 0.43
Theoretical density in Mg/m³: 6.317
Energy relative to the elements in meV/atom: -172

Cell: 10.814 10.814 10.814 Å, 57.07 147.35 134.56°
Positions (direct):
Na (0.127, 0.088, 0.215)
Na (0.127, 0.412, 0.539)
Na (0.226, 0.051, 0.675)
Na (0.376, 0.551, 0.325)
Na (0.562, 0.816, 0.081)
Na (0.562, 0.981, 0.246)
Na (0.735, 0.316, 0.754)
Na (0.735, 0.481, 0.919)
Na (0.873, 0.588, 0.461)
Na (0.873, 0.912, 0.785)
Tl (0.211, 0.416, 0.928)
Tl (0.211, 0.783, 0.294)
Tl (0.488, 0.283, 0.072)
Tl (0.488, 0.916, 0.706)
Au (0.006, 0.706, 0.800)
Au (0.676, 0.176, 0.500)
Au (0.676, 0.676, 0.000)
Au (0.906, 0.206, 0.200)


(8)
A plane-wave DFT calculation with PBE was carried out for Na3Tl5Au2 after structural relaxation.

Output
Space-group type: P4/mbm, No. 127
N(E_F) in states/eV per atom: 0.38
Theoretical density in Mg/m³: 9.081
Energy relative to the elements in meV/atom: -141

Cell: 10.994 10.994 4.493 Å, 90.00 90.00 90.00°
Positions (direct):
Na (0.000, 0.000, 0.000)
Na (0.166, 0.334, 0.000)
Na (0.334, 0.834, 0.000)
Na (0.500, 0.500, 0.000)
Na (0.666, 0.166, 0.000)
Na (0.834, 0.666, 0.000)
Tl (0.000, 0.500, 0.500)
Tl (0.077, 0.802, 0.500)
Tl (0.198, 0.077, 0.500)
Tl (0.302, 0.577, 0.500)
Tl (0.423, 0.302, 0.500)
Tl (0.500, 0.000, 0.500)
Tl (0.577, 0.698, 0.500)
Tl (0.698, 0.423, 0.500)
Tl (0.802, 0.923, 0.500)
Tl (0.923, 0.198, 0.500)
Au (0.132, 0.632, 0.000)
Au (0.368, 0.132, 0.000)
Au (0.632, 0.868, 0.000)
Au (0.868, 0.368, 0.000)


(9)
A plane-wave DFT calculation with PBE was carried out for Na5Tl2Au after structural relaxation.

Output
Offset from the most stable computed form in eV per atom: 0.000
Space-group type: Cmcm, No. 63
N(E_F) in states/eV per atom: 0.39
Theoretical density in Mg/m³: 5.205
Energy relative to the elements in meV/atom: -144

Cell: 6.095 6.095 16.927 Å, 90.00 90.00 133.01°
Positions (direct):
Na (0.019, 0.981, 0.750)
Na (0.154, 0.846, 0.541)
Na (0.154, 0.846, 0.959)
Na (0.451, 0.549, 0.609)
Na (0.451, 0.549, 0.891)
Na (0.549, 0.451, 0.109)
Na (0.549, 0.451, 0.391)
Na (0.846, 0.154, 0.041)
Na (0.846, 0.154, 0.459)
Na (0.981, 0.019, 0.250)
Tl (0.252, 0.748, 0.152)
Tl (0.252, 0.748, 0.348)
Tl (0.748, 0.252, 0.652)
Tl (0.748, 0.252, 0.848)
Au (0.288, 0.712, 0.750)
Au (0.712, 0.288, 0.250)


(10)
A plane-wave DFT calculation with PBE was carried out for Na2Tl6Au after structural relaxation.

Output
Offset from the most stable computed form in eV per atom: 0.011
Space-group type: Amm2, No. 38
N(E_F) in states/eV per atom: 0.47
Theoretical density in Mg/m³: 9.601
Energy relative to the elements in meV/atom: -64

Cell: 3.540 13.694 13.694 Å, 22.51 90.00 90.00°
Positions (direct):
Na (0.000, 0.000, 0.000)
Na (0.000, 0.340, 0.340)
Tl (0.000, 0.648, 0.648)
Tl (0.000, 0.770, 0.770)
Tl (0.500, 0.103, 0.103)
Tl (0.500, 0.224, 0.224)
Tl (0.500, 0.446, 0.446)
Tl (0.500, 0.882, 0.882)
Au (0.500, 0.551, 0.551)


(11)
A plane-wave DFT calculation with PBE was carried out for Na12TlAu6 after structural relaxation.

Output
Offset from the most stable computed form in eV per atom: 0.000
Space-group type: R-3, No. 148
N(E_F) in states/eV per atom: 0.31
Theoretical density in Mg/m³: 5.421
Energy relative to the elements in meV/atom: -200

Cell: 8.171 8.171 8.171 Å, 101.26 101.26 101.26°
Positions (direct):
Na (0.142, 0.153, 0.439)
Na (0.153, 0.439, 0.142)
Na (0.185, 0.558, 0.698)
Na (0.302, 0.815, 0.442)
Na (0.439, 0.142, 0.153)
Na (0.442, 0.302, 0.815)
Na (0.558, 0.698, 0.185)
Na (0.561, 0.858, 0.847)
Na (0.698, 0.185, 0.558)
Na (0.815, 0.442, 0.302)
Na (0.847, 0.561, 0.858)
Na (0.858, 0.847, 0.561)
Tl (0.500, 0.500, 0.500)
Au (0.050, 0.224, 0.788)
Au (0.212, 0.950, 0.776)
Au (0.224, 0.788, 0.050)
Au (0.776, 0.212, 0.950)
Au (0.788, 0.050, 0.224)
Au (0.950, 0.776, 0.212)


(12)
A plane-wave DFT calculation with PBE was carried out for Na4Tl2Au after structural relaxation.

Output
Offset from the most stable computed form in eV per atom: 0.079
Space-group type: Cmmm, No. 65
N(E_F) in states/eV per atom: 0.44
Theoretical density in Mg/m³: 5.838
Energy relative to the elements in meV/atom: -77

Cell: 10.704 10.704 3.424 Å, 90.00 90.00 149.62°
Positions (direct):
Na (0.073, 0.927, 0.000)
Na (0.377, 0.623, 0.500)
Na (0.623, 0.377, 0.500)
Na (0.927, 0.073, 0.000)
Tl (0.215, 0.785, 0.500)
Tl (0.785, 0.215, 0.500)
Au (0.500, 0.500, 0.000)


(13)
A plane-wave DFT calculation with PBE was carried out for Na5TlAu2 after structural relaxation.

Output
Offset from the most stable computed form in eV per atom: 0.000
Space-group type: Cmcm, No. 63
N(E_F) in states/eV per atom: 0.38
Theoretical density in Mg/m³: 5.438
Energy relative to the elements in meV/atom: -166

Cell: 6.021 6.021 17.282 Å, 90.00 90.00 135.95°
Positions (direct):
Na (0.041, 0.959, 0.750)
Na (0.159, 0.841, 0.039)
Na (0.159, 0.841, 0.461)
Na (0.453, 0.547, 0.108)
Na (0.453, 0.547, 0.392)
Na (0.547, 0.453, 0.608)
Na (0.547, 0.453, 0.892)
Na (0.841, 0.159, 0.539)
Na (0.841, 0.159, 0.961)
Na (0.959, 0.041, 0.250)
Tl (0.235, 0.765, 0.250)
Tl (0.765, 0.235, 0.750)
Au (0.246, 0.754, 0.634)
Au (0.246, 0.754, 0.866)
Au (0.754, 0.246, 0.134)
Au (0.754, 0.246, 0.366)


(14)
A plane-wave DFT calculation with PBE was carried out for Na6TlAu5 after structural relaxation.

Output
Space-group type: C2/m, No. 12
N(E_F) in states/eV per atom: 0.22
Theoretical density in Mg/m³: 8.275
Energy relative to the elements in meV/atom: -249

Cell: 9.156 9.156 5.430 Å, 107.20 107.20 127.80°
Positions (direct):
Na (0.068, 0.422, 0.745)
Na (0.236, 0.236, 0.236)
Na (0.422, 0.068, 0.745)
Na (0.578, 0.932, 0.255)
Na (0.764, 0.764, 0.764)
Na (0.932, 0.578, 0.255)
Tl (0.500, 0.500, 0.000)
Au (0.000, 0.000, 0.500)
Au (0.161, 0.839, 0.000)
Au (0.345, 0.655, 0.500)
Au (0.655, 0.345, 0.500)
Au (0.839, 0.161, 0.000)


(15)
A plane-wave DFT calculation with PBE was carried out for Na6Tl3Au after structural relaxation.

Output
Space-group type: P2_1/m, No. 11
N(E_F) in states/eV per atom: 0.45
Theoretical density in Mg/m³: 5.429
Energy relative to the elements in meV/atom: -118

Cell: 13.553 3.486 13.789 Å, 90.00 117.09 90.00°
Positions (direct):
Na (0.019, 0.250, 0.296)
Na (0.108, 0.250, 0.960)
Na (0.144, 0.750, 0.574)
Na (0.352, 0.750, 0.947)
Na (0.393, 0.250, 0.743)
Na (0.443, 0.750, 0.381)
Na (0.557, 0.250, 0.619)
Na (0.607, 0.750, 0.257)
Na (0.648, 0.250, 0.053)
Na (0.856, 0.250, 0.426)
Na (0.892, 0.750, 0.040)
Na (0.981, 0.750, 0.704)
Tl (0.176, 0.750, 0.205)
Tl (0.283, 0.250, 0.460)
Tl (0.364, 0.250, 0.156)
Tl (0.636, 0.750, 0.844)
Tl (0.717, 0.750, 0.540)
Tl (0.824, 0.250, 0.795)
Au (0.183, 0.250, 0.771)
Au (0.817, 0.750, 0.229)


(16)
A plane-wave DFT calculation with PBE was carried out for Na17Tl11Au after structural relaxation.

Output
Space-group type: Cm, No. 8
N(E_F) in states/eV per atom: 0.48
Theoretical density in Mg/m³: 5.578
Energy relative to the elements in meV/atom: -112

Cell: 10.306 10.306 10.282 Å, 109.24 109.24 109.58°
Positions (direct):
Na (0.000, 0.000, 0.000)
Na (0.000, 0.416, 0.687)
Na (0.006, 0.006, 0.664)
Na (0.278, 0.586, 0.581)
Na (0.308, 0.720, 0.304)
Na (0.309, 0.309, 0.715)
Na (0.344, 0.344, 0.330)
Na (0.416, 0.000, 0.687)
Na (0.424, 0.697, 0.999)
Na (0.586, 0.278, 0.581)
Na (0.603, 0.603, 0.268)
Na (0.667, 0.999, 0.998)
Na (0.695, 0.991, 0.400)
Na (0.697, 0.424, 0.999)
Na (0.720, 0.308, 0.304)
Na (0.991, 0.695, 0.400)
Na (0.999, 0.667, 0.998)
Tl (0.179, 0.993, 0.373)
Tl (0.193, 0.813, 0.807)
Tl (0.196, 0.388, 0.997)
Tl (0.377, 0.996, 0.188)
Tl (0.388, 0.196, 0.997)
Tl (0.621, 0.811, 0.615)
Tl (0.624, 0.624, 0.817)
Tl (0.811, 0.621, 0.615)
Tl (0.813, 0.193, 0.807)
Tl (0.993, 0.179, 0.373)
Tl (0.996, 0.377, 0.188)
Au (0.817, 0.817, 0.164)


(17)
A plane-wave DFT calculation with PBE was carried out for Na3Tl3Au2 after structural relaxation.

Output
Space-group type: Cmcm, No. 63
N(E_F) in states/eV per atom: 0.51
Theoretical density in Mg/m³: 8.167
Energy relative to the elements in meV/atom: -190

Cell: 6.058 6.058 16.845 Å, 90.00 90.00 134.94°
Positions (direct):
Na (0.061, 0.939, 0.610)
Na (0.061, 0.939, 0.890)
Na (0.327, 0.673, 0.750)
Na (0.673, 0.327, 0.250)
Na (0.939, 0.061, 0.110)
Na (0.939, 0.061, 0.390)
Tl (0.367, 0.633, 0.539)
Tl (0.367, 0.633, 0.961)
Tl (0.391, 0.609, 0.250)
Tl (0.609, 0.391, 0.750)
Tl (0.633, 0.367, 0.039)
Tl (0.633, 0.367, 0.461)
Au (0.234, 0.766, 0.116)
Au (0.234, 0.766, 0.384)
Au (0.766, 0.234, 0.616)
Au (0.766, 0.234, 0.884)


(18)
A plane-wave DFT calculation with PBE was carried out for Na2Tl2Au after structural relaxation.

Output
Offset from the most stable computed form in eV per atom: 0.138
Space-group type: P4/mbm, No. 127
N(E_F) in states/eV per atom: 0.31
Theoretical density in Mg/m³: 7.895
Energy relative to the elements in meV/atom: -19

Cell: 7.478 7.478 4.903 Å, 90.00 90.00 90.00°
Positions (direct):
Na (0.145, 0.355, 0.000)
Na (0.355, 0.855, 0.000)
Na (0.645, 0.145, 0.000)
Na (0.855, 0.645, 0.000)
Tl (0.170, 0.670, 0.500)
Tl (0.330, 0.170, 0.500)
Tl (0.670, 0.830, 0.500)
Tl (0.830, 0.330, 0.500)
Au (0.000, 0.000, 0.000)
Au (0.500, 0.500, 0.000)


(19)
A plane-wave DFT calculation with PBE was carried out for Na4Tl3Au after structural relaxation.

Output
Offset from the most stable computed form in eV per atom: 0.003
Space-group type: C2/m, No. 12
N(E_F) in states/eV per atom: 0.46
Theoretical density in Mg/m³: 7.083
Energy relative to the elements in meV/atom: -136

Cell: 9.963 9.963 4.863 Å, 104.04 104.04 26.90°
Positions (direct):
Na (0.117, 0.117, 0.117)
Na (0.382, 0.382, 0.383)
Na (0.618, 0.618, 0.617)
Na (0.883, 0.883, 0.883)
Tl (0.000, 0.000, 0.500)
Tl (0.246, 0.246, 0.746)
Tl (0.754, 0.754, 0.254)
Au (0.500, 0.500, 0.000)